Density functional theory data (PBE-GGA) for a relaxed structure of Ca2Nd15Sm2.

Summary:
ΔH_f (0 K)   0.230 eV per atom
DFT total energy   -4.24 eV/atom
Magnetic moment   0.00 μB per formula unit
V   37.25 A^3/atom

Unit cell a=9.0100 b=9.0100 c=9.0100 alpha=81.15 beta=81.15 gamma=81.15
With the nearest neighbours (Å) after each atom.
Fractional coordinates of all 19 atoms:
1 Ca 0.1684 0.1684 0.1684  15 Nd 4.14-4.48, 1 Sm 4.25
2 Ca 0.8316 0.8316 0.8316  15 Nd 4.14-4.48, 1 Sm 4.25
3 Nd 0.0000 0.5000 0.5000  8 Nd 3.46, 2 Sm 3.63
4 Nd 0.1359 0.1359 0.6477  6 Nd 3.44-3.46
5 Nd 0.1359 0.6477 0.1359  6 Nd 3.44-3.46
6 Nd 0.2040 0.5000 0.7960  6 Nd 3.46-3.47, 2 Sm 3.85
7 Nd 0.2040 0.7960 0.5000  6 Nd 3.46-3.47, 2 Sm 3.85
8 Nd 0.3523 0.8641 0.8641  6 Nd 3.44-3.46
9 Nd 0.5000 0.0000 0.5000  8 Nd 3.46, 2 Sm 3.63
10 Nd 0.5000 0.2040 0.7960  6 Nd 3.46-3.47, 2 Sm 3.85
11 Nd 0.5000 0.5000 0.0000  8 Nd 3.46, 2 Sm 3.63
12 Nd 0.5000 0.7960 0.2040  6 Nd 3.46-3.47, 2 Sm 3.85
13 Nd 0.6477 0.1359 0.1359  6 Nd 3.44-3.46
14 Nd 0.7960 0.2040 0.5000  6 Nd 3.46-3.47, 2 Sm 3.85
15 Nd 0.7960 0.5000 0.2040  6 Nd 3.46-3.47, 2 Sm 3.85
16 Nd 0.8641 0.3523 0.8641  6 Nd 3.44-3.46
17 Nd 0.8641 0.8641 0.3523  6 Nd 3.44-3.46
18 Sm 0.4064 0.4064 0.4064  1 Sm 3.34, 3 Nd 3.63
19 Sm 0.5936 0.5936 0.5936  1 Sm 3.34, 3 Nd 3.63